Entry 1:
DFT (PBE-GGA) results for CsTlTe2Pb after structural relaxation.

Calculated values
**Symmetry**: C2/m (12)
**Spin magnetization**: 0.00 μB per atom
**E_form (uncorrected)**: -0.538 eV/atom
**Energy**: -31.81 eV per cell

a = 10.044 Å, b = 10.044 Å, c = 10.627 Å
α = 100.25°, β = 100.25°, γ = 29.58°
Fractional positions:
Cs 0.174 0.174 0.152
Cs 0.826 0.826 0.848
Tl 0.193 0.193 0.511
Tl 0.807 0.807 0.489
Te 0.163 0.163 0.790
Te 0.407 0.407 0.616
Te 0.593 0.593 0.384
Te 0.837 0.837 0.210
Pb 0.425 0.425 0.331
Pb 0.575 0.575 0.669

***

Entry 2:
DFT (PBE-GGA) results for Ti2ZnH after structural relaxation.

Calculated values
**D(E_F)**: 7.25 states/eV/cell
**Symmetry**: I-42d (122)
**Spin magnetization**: 0.00 μB per atom
**Energy**: -39.16 eV per cell
**Excess energy over the best structure of this formula in the dataset**: 471.9 meV per atom

a = 5.973 Å, b = 5.973 Å, c = 5.973 Å
α = 130.72°, β = 130.72°, γ = 72.26°
Fractional positions:
Ti 0.375 0.194 0.319
Ti 0.806 0.125 0.181
Ti 0.875 0.056 0.681
Ti 0.944 0.625 0.819
Zn 0.250 0.750 0.500
Zn 0.500 0.500 0.000
H 0.000 0.000 0.000
H 0.750 0.250 0.500

***

Entry 3:
DFT (PBE-GGA) results for LiFeRe after structural relaxation.

Calculated values
**D(E_F)**: 2.71 states/eV/cell
**Symmetry**: F-43m (216)
**Spin magnetization**: 0.00 μB per atom
**Energy**: -20.80 eV per cell
**Excess energy over the best structure of this formula in the dataset**: 443.7 meV per atom

a = 3.891 Å, b = 3.891 Å, c = 3.891 Å
α = 60.00°, β = 60.00°, γ = 60.00°
Fractional positions:
Li 0.000 0.000 0.000
Fe 0.750 0.750 0.750
Re 0.500 0.500 0.500

***

Entry 4:
DFT (PBE-GGA) results for Dy2SeI3 after structural relaxation.

Calculated values
**D(E_F)**: 5.79 states/eV/cell
**Symmetry**: C2/m (12)
**Spin magnetization**: 0.00 μB per atom
**E_form (uncorrected)**: -1.393 eV/atom
**Energy**: -51.39 eV per cell

a = 11.005 Å, b = 11.005 Å, c = 14.903 Å
α = 132.01°, β = 132.01°, γ = 22.04°
Fractional positions:
Dy 0.078 0.078 0.467
Dy 0.368 0.368 0.172
Dy 0.632 0.632 0.828
Dy 0.922 0.922 0.533
Se 0.102 0.102 0.680
Se 0.898 0.898 0.320
I 0.174 0.174 0.022
I 0.280 0.280 0.382
I 0.453 0.453 0.722
I 0.547 0.547 0.278
I 0.720 0.720 0.618
I 0.826 0.826 0.978

***

Entry 5:
DFT (PBE-GGA) results for Pu4U2Tc3 after structural relaxation.

Calculated values
**D(E_F)**: 19.63 states/eV/cell
**Symmetry**: C2/m (12)
**Spin magnetization**: 0.00 μB per atom
**Energy**: -111.02 eV per cell

a = 5.379 Å, b = 5.379 Å, c = 8.446 Å
α = 118.40°, β = 118.40°, γ = 48.49°
Fractional positions:
Pu 0.006 0.006 0.361
Pu 0.236 0.236 0.928
Pu 0.764 0.764 0.072
Pu 0.994 0.994 0.639
U 0.387 0.387 0.714
U 0.613 0.613 0.286
Tc 0.000 0.000 0.000
Tc 0.323 0.323 0.350
Tc 0.677 0.677 0.650

***

Entry 6:
DFT (PBE-GGA) results for PmNd2Ho12 after structural relaxation.

Calculated values
**D(E_F)**: 53.58 states/eV/cell
**Symmetry**: P4/nbm (125)
**Spin magnetization**: 0.00 μB per atom
**Energy**: -127.54 eV per cell

a = 6.440 Å, b = 6.440 Å, c = 24.698 Å
α = 90.00°, β = 90.00°, γ = 90.00°
Fractional positions:
Pm 0.250 0.750 0.000
Pm 0.750 0.250 0.000
Nd 0.250 0.750 0.260
Nd 0.250 0.750 0.740
Nd 0.750 0.250 0.260
Nd 0.750 0.250 0.740
Ho 0.001 0.501 0.113
Ho 0.001 0.999 0.887
Ho 0.081 0.581 0.561
Ho 0.081 0.919 0.439
Ho 0.250 0.250 0.213
Ho 0.250 0.250 0.338
Ho 0.250 0.250 0.662
Ho 0.250 0.250 0.787
Ho 0.419 0.581 0.439
Ho 0.419 0.919 0.561
Ho 0.499 0.501 0.887
Ho 0.499 0.999 0.113
Ho 0.501 0.001 0.887
Ho 0.501 0.499 0.113
Ho 0.581 0.081 0.439
Ho 0.581 0.419 0.561
Ho 0.750 0.750 0.213
Ho 0.750 0.750 0.338
Ho 0.750 0.750 0.662
Ho 0.750 0.750 0.787
Ho 0.919 0.081 0.561
Ho 0.919 0.419 0.439
Ho 0.999 0.001 0.113
Ho 0.999 0.499 0.887

***

Entry 7:
DFT (PBE-GGA) results for ZnCo2Ni8 after structural relaxation.

Calculated values
**D(E_F)**: 14.79 states/eV/cell
**Symmetry**: C2/m (12)
**Spin magnetization**: 0.70 μB per atom
**Energy**: -59.91 eV per cell
**Excess energy over the best structure of this formula in the dataset**: 205.5 meV per atom

a = 6.984 Å, b = 6.984 Å, c = 4.280 Å
α = 107.40°, β = 107.40°, γ = 125.17°
Fractional positions:
Zn 0.000 0.000 0.000
Co 0.315 0.685 0.500
Co 0.685 0.315 0.500
Ni 0.104 0.382 0.732
Ni 0.195 0.805 0.000
Ni 0.382 0.104 0.732
Ni 0.466 0.466 0.221
Ni 0.534 0.534 0.779
Ni 0.618 0.896 0.268
Ni 0.805 0.195 0.000
Ni 0.896 0.618 0.268

***

Entry 8:
DFT (PBE-GGA) results for NdErNiOs after structural relaxation.

Calculated values
**D(E_F)**: 2.41 states/eV/cell
**Symmetry**: F-43m (216)
**Spin magnetization**: 0.00 μB per atom
**Energy**: -27.09 eV per cell

a = 4.866 Å, b = 4.866 Å, c = 4.866 Å
α = 60.00°, β = 60.00°, γ = 60.00°
Fractional positions:
Nd 0.000 0.000 0.000
Er 0.500 0.500 0.500
Ni 0.750 0.750 0.750
Os 0.250 0.250 0.250

***

Entry 9:
DFT (PBE-GGA) results for Pm3Zn2Pd3 after structural relaxation.

Calculated values
**D(E_F)**: 10.11 states/eV/cell
**Symmetry**: Cmcm (63)
**Spin magnetization**: 0.00 μB per atom
**Energy**: -75.96 eV per cell
**Excess energy over the best structure of this formula in the dataset**: 0.0 meV per atom

a = 6.167 Å, b = 6.167 Å, c = 14.366 Å
α = 90.00°, β = 90.00°, γ = 139.85°
Fractional positions:
Pm 0.080 0.920 0.607
Pm 0.080 0.920 0.893
Pm 0.352 0.648 0.750
Pm 0.648 0.352 0.250
Pm 0.920 0.080 0.107
Pm 0.920 0.080 0.393
Zn 0.221 0.779 0.088
Zn 0.221 0.779 0.412
Zn 0.779 0.221 0.588
Zn 0.779 0.221 0.912
Pd 0.343 0.657 0.250
Pd 0.395 0.605 0.545
Pd 0.395 0.605 0.955
Pd 0.605 0.395 0.045
Pd 0.605 0.395 0.455
Pd 0.657 0.343 0.750

***

Entry 10:
DFT (PBE-GGA) results for HfGeI2N after structural relaxation.

Calculated values
**D(E_F)**: 3.98 states/eV/cell
**Symmetry**: P4/mmm (123)
**Spin magnetization**: 0.00 μB per atom
**E_form (uncorrected)**: 0.776 eV/atom
**Energy**: -22.11 eV per cell
**Excess energy over the best structure of this formula in the dataset**: 698.5 meV per atom

a = 5.895 Å, b = 5.895 Å, c = 3.552 Å
α = 90.00°, β = 90.00°, γ = 90.00°
Fractional positions:
Hf 0.000 0.000 0.000
Ge 0.500 0.500 0.500
I 0.000 0.500 0.500
I 0.500 0.000 0.500
N 0.500 0.500 0.000

***

Entry 11:
DFT (PBE-GGA) results for SmHoTm after structural relaxation.

Calculated values
**D(E_F)**: 4.18 states/eV/cell
**Symmetry**: I4mm (107)
**Spin magnetization**: 0.00 μB per atom
**Energy**: -13.70 eV per cell
**Excess energy over the best structure of this formula in the dataset**: 16.0 meV per atom

a = 7.941 Å, b = 7.941 Å, c = 7.941 Å
α = 154.21°, β = 154.21°, γ = 36.80°
Fractional positions:
Sm 0.000 0.000 0.000
Ho 0.331 0.331 0.000
Tm 0.667 0.667 0.000

***

Entry 12:
DFT (PBE-GGA) results for Sn2MoRhW after structural relaxation.

Calculated values
**D(E_F)**: 5.26 states/eV/cell
**Symmetry**: P4/mmm (123)
**Spin magnetization**: 0.24 μB per atom
**Energy**: -31.83 eV per cell

a = 5.113 Å, b = 5.113 Å, c = 4.742 Å
α = 90.00°, β = 90.00°, γ = 90.00°
Fractional positions:
Sn 0.000 0.500 0.000
Sn 0.500 0.000 0.000
Mo 0.000 0.000 0.000
Rh 0.500 0.500 0.500
W 0.000 0.000 0.500